# 1
## La2BiMoPb (GGA-PBE)

Data for crystalline La2BiMoPb at its relaxed geometry.

## Properties
Volume = 209 Å³ per cell
Space-group type = P4/mmm (123)
Magnetization = 0.12 μB/f.u.
Crystal system = tetragonal
Formation enthalpy at 0 K = 1277 meV/atom

Cell: 6.037 5.728 6.037 Å, 90.00 90.00 90.00°
Site moments in Bohr magnetons follow the coordinates.
Fractional positions:
1 Pb 0.000 0.500 0.000  0.00
2 Mo 0.500 0.500 0.500  -0.08
3 Bi 0.000 0.000 0.000  0.02
4 La 0.000 0.000 0.500  -0.01
5 La 0.500 0.000 0.000  0.00

***

# 2
## Rb3TiSb (GGA-PBE)

Data for crystalline Rb3TiSb at its relaxed geometry.

## Properties
Volume = 348 Å³ per cell
Space-group type = Pm-3m (221)
Magnetization = 0.32 μB/f.u.
Crystal system = cubic
ΔE to the lowest computed polymorph = 0 meV/atom
ΔE_f (raw) = 0.850 eV per atom

Cell: 7.034 7.034 7.034 Å, 90.00 90.00 90.00°
Site moments in Bohr magnetons follow the coordinates.
Fractional positions:
1 Sb 0.000 0.000 0.000  0.20
2 Rb 0.000 0.500 0.000  0.01
3 Rb 0.000 0.000 0.500  0.01
4 Rb 0.500 0.000 0.000  0.00
5 Ti 0.500 0.500 0.500  -0.19

***

# 3
## BaMoPt2 (GGA-PBE)

Data for crystalline BaMoPt2 at its relaxed geometry.

## Properties
Volume = 219 Å³ per cell
Space-group type = I-42d (122)
Magnetization = 1.25 μB/f.u.
Crystal system = tetragonal
ΔE to the lowest computed polymorph = 436 meV/atom
Formation enthalpy at 0 K = 178 meV/atom

Cell: 7.667 7.667 6.580 Å, 54.37 54.37 90.00°
Site moments in Bohr magnetons follow the coordinates.
Fractional positions:
1 Mo 0.500 0.500 0.000  0.74
2 Mo 0.250 0.750 0.500  0.74
3 Ba 0.000 0.000 0.000  0.03
4 Ba 0.750 0.250 0.500  0.03
5 Pt 0.532 0.125 0.250  0.11
6 Pt 0.218 0.625 0.250  0.11
7 Pt 0.375 0.468 0.750  0.08
8 Pt 0.875 0.782 0.750  0.12

***

What did the third record say?
## BaMoPt2 (GGA-PBE)

Data for crystalline BaMoPt2 at its relaxed geometry.

## Properties
Volume = 219 Å³ per cell
Space-group type = I-42d (122)
Magnetization = 1.25 μB/f.u.
Crystal system = tetragonal
ΔE to the lowest computed polymorph = 436 meV/atom
Formation enthalpy at 0 K = 178 meV/atom

Cell: 7.667 7.667 6.580 Å, 54.37 54.37 90.00°
Site moments in Bohr magnetons follow the coordinates.
Fractional positions:
1 Mo 0.500 0.500 0.000  0.74
2 Mo 0.250 0.750 0.500  0.74
3 Ba 0.000 0.000 0.000  0.03
4 Ba 0.750 0.250 0.500  0.03
5 Pt 0.532 0.125 0.250  0.11
6 Pt 0.218 0.625 0.250  0.11
7 Pt 0.375 0.468 0.750  0.08
8 Pt 0.875 0.782 0.750  0.12

***

> magnetization of number 3 (BaMoPt2)?

1.25 μB/f.u.